Density functional theory data (PBE with a Hubbard U) for an optimized crystal structure of AcCoIrO6.

Calculated values
Its volume is 123 Å³/cell. Its calculated total energy is -0.5030 Ry per atom. Its symmetry is P312, No. 149.

Lattice parameters (Å, degrees): 5.142 5.142 5.354 90.00 90.00 120.00
Fractional coordinates of all 9 atoms:
1 Ac 0.000 0.000 0.000
2 Co 0.333 0.667 0.500
3 Ir 0.667 0.333 0.500
4 O 0.006 0.379 0.700
5 O 0.006 0.627 0.300
6 O 0.373 0.379 0.300
7 O 0.373 0.994 0.700
8 O 0.621 0.627 0.700
9 O 0.621 0.994 0.300